# Zr2Sb2Cl

A crystal of Zr2Sb2Cl relaxed with PBEsol (SCAN, the Alexandria database).

It has space group I4/mmm (No. 139), with a = 5.0876 Å, b = 5.0876 Å, c = 10.6690 Å, α = 90.00°, β = 90.00° and γ = 90.00°. Symmetry generates all atoms from Zr at (0.0000, 0.5000, 0.2500), Sb at (0.0000, 0.0000, 0.1362) and Cl at (0.0000, 0.0000, 0.5000).

Its uncorrected energy is -29.148 eV per atom. As for the formation energy (no corrections): -369 meV per atom.